Material: YHo14Zr
Method: DFT, PBE-GGA
State: optimized geometry

Results
* energy of formation from the pure elements: 0.58 eV per formula unit
* size of the total moment: 0.00 μB/f.u.
* uncorrected energy: -4.908 eV per atom
* space-group type: P4/mmm (123)

Lattice parameters (Å, degrees): 7.011 7.011 9.881 90.00 90.00 90.00
Element x y z (fractional)
Y 0.000 0.000 0.000
Ho 0.000 0.000 0.500
Ho 0.000 0.500 0.000
Ho 0.000 0.500 0.500
Ho 0.255 0.255 0.245
Ho 0.255 0.255 0.755
Ho 0.255 0.745 0.245
Ho 0.255 0.745 0.755
Ho 0.500 0.000 0.000
Ho 0.500 0.000 0.500
Ho 0.500 0.500 0.500
Ho 0.745 0.255 0.245
Ho 0.745 0.255 0.755
Ho 0.745 0.745 0.245
Ho 0.745 0.745 0.755
Zr 0.500 0.500 0.000

Material: Y4Ho8Zr
Method: DFT, PBE-GGA
State: optimized geometry

Results
* energy of formation from the pure elements: 7.24 eV per formula unit
* size of the total moment: 1.44 μB/f.u.
* uncorrected energy: -4.907 eV per atom
* space-group type: R-3m (166)

Lattice parameters (Å, degrees): 7.660 7.660 7.660 90.20 90.20 90.20
Element x y z (fractional)
Y 0.000 0.000 0.000
Y 0.000 0.500 0.500
Y 0.500 0.000 0.500
Y 0.500 0.500 0.000
Ho 0.245 0.245 0.753
Ho 0.245 0.753 0.245
Ho 0.246 0.246 0.246
Ho 0.247 0.755 0.755
Ho 0.753 0.245 0.245
Ho 0.754 0.754 0.754
Ho 0.755 0.247 0.755
Ho 0.755 0.755 0.247
Zr 0.500 0.500 0.500

Material: Y2Ho4Zr
Method: DFT, PBE-GGA
State: optimized geometry

Results
* energy of formation from the pure elements: 0.26 eV per formula unit
* size of the total moment: 0.23 μB/f.u.
* uncorrected energy: -5.646 eV per atom
* space-group type: Cm (8)

Lattice parameters (Å, degrees): 3.537 3.537 19.636 95.17 95.17 60.00
Element x y z (fractional)
Y 0.000 0.000 0.000
Y 0.097 0.097 0.293
Ho 0.285 0.285 0.854
Ho 0.382 0.382 0.147
Ho 0.814 0.814 0.443
Ho 0.902 0.902 0.707
Zr 0.192 0.192 0.575

Material: YHo2Zr
Method: DFT, PBE-GGA
State: optimized geometry

Results
* energy of formation from the pure elements: 0.38 eV per formula unit
* E above lowest polymorph: 0.021 eV/atom
* size of the total moment: 0.00 μB/f.u.
* uncorrected energy: -5.947 eV per atom
* space-group type: P4/mmm (123)

Lattice parameters (Å, degrees): 4.861 4.861 4.855 90.00 90.00 90.00
Element x y z (fractional)
Y 0.000 0.000 0.000
Ho 0.000 0.500 0.500
Ho 0.500 0.000 0.500
Zr 0.500 0.500 0.000

Material: Y2Ho6Zr
Method: DFT, PBE-GGA
State: optimized geometry

Results
* energy of formation from the pure elements: 0.70 eV per formula unit
* size of the total moment: 0.00 μB/f.u.
* uncorrected energy: -5.360 eV per atom
* space-group type: P-1 (2)

Lattice parameters (Å, degrees): 6.525 8.215 11.243 102.34 101.69 103.79
Element x y z (fractional)
Y 0.226 0.184 0.056
Y 0.254 0.852 0.811
Y 0.746 0.148 0.189
Y 0.774 0.816 0.944
Ho 0.048 0.301 0.501
Ho 0.094 0.943 0.305
Ho 0.198 0.535 0.279
Ho 0.292 0.759 0.077
Ho 0.326 0.434 0.824
Ho 0.485 0.693 0.596
Ho 0.515 0.307 0.404
Ho 0.674 0.566 0.176
Ho 0.708 0.241 0.923
Ho 0.802 0.465 0.721
Ho 0.906 0.057 0.695
Ho 0.952 0.699 0.499
Zr 0.397 0.083 0.613
Zr 0.603 0.917 0.387

Material: Y8Ho4Zr
Method: DFT, PBE-GGA
State: optimized geometry

Results
* energy of formation from the pure elements: 2.74 eV per formula unit
* size of the total moment: 1.17 μB/f.u.
* uncorrected energy: -5.833 eV per atom
* space-group type: C2/m (12)

Lattice parameters (Å, degrees): 7.271 7.271 9.950 111.29 111.29 60.11
Element x y z (fractional)
Y 0.202 0.746 0.692
Y 0.217 0.217 0.651
Y 0.254 0.798 0.308
Y 0.255 0.255 0.307
Y 0.745 0.745 0.693
Y 0.746 0.202 0.692
Y 0.783 0.783 0.349
Y 0.798 0.254 0.308
Ho 0.000 0.000 0.000
Ho 0.000 0.500 0.000
Ho 0.500 0.000 0.000
Ho 0.500 0.500 0.000
Zr 0.500 0.500 0.500